DFT (PBE-GGA) results for a geometry-optimized KBH3 structure. Values from VASP.

Summary:
- volume (Å³ per cell) = 149
- total energy (eV/atom) = -3.677
- offset from the most stable computed form (kJ/mol of atoms) = 0.0

Quantum ESPRESSO input file:
```
&SYSTEM
  ibrav = 0, nat = 10, ntyp = 3
/
ATOMIC_SPECIES
K 39.10 K.upf
B 10.81 B.upf
H 1.01 H.upf
ATOMIC_POSITIONS crystal
K 0.7830 0.7830 0.7830
K 0.2830 0.2830 0.2830
B 0.0434 0.0434 0.0434
B 0.5434 0.5434 0.5434
H 0.1971 0.7507 0.1971
H 0.1971 0.1971 0.7507
H 0.7507 0.1971 0.1971
H 0.6971 0.6971 0.2507
H 0.6971 0.2507 0.6971
H 0.2507 0.6971 0.6971
CELL_PARAMETERS angstrom
-5.4165 6.2731 -0.4718
-6.3173 4.0486 3.5514
-2.7673 7.0952 3.3034
```

=====

DFT (PBE-GGA) results for a geometry-optimized KB5H5 structure. Values from VASP.

Summary:
- volume (Å³ per cell) = 991
- total energy (eV/atom) = -4.980

Quantum ESPRESSO input file:
```
&SYSTEM
  ibrav = 0, nat = 88, ntyp = 3
/
ATOMIC_SPECIES
K 39.10 K.upf
B 10.81 B.upf
H 1.01 H.upf
ATOMIC_POSITIONS crystal
K 0.7376 0.3694 0.5579
K 0.7624 0.8694 0.9421
K 0.2624 0.6306 0.4421
K 0.2376 0.1306 0.0579
K 0.7720 0.4669 0.1583
K 0.7280 0.9669 0.3417
K 0.2280 0.5331 0.8417
K 0.2720 0.0331 0.6583
B 0.8514 0.1774 0.8617
B 0.6486 0.6774 0.6383
B 0.1486 0.8226 0.1383
B 0.3514 0.3226 0.3617
B 0.4732 0.2816 0.8729
B 0.0268 0.7816 0.6271
B 0.5268 0.7184 0.1271
B 0.9732 0.2184 0.3729
B 0.5882 0.3657 0.7856
B 0.9118 0.8657 0.7144
B 0.4118 0.6343 0.2144
B 0.0882 0.1343 0.2856
B 0.6165 0.2657 0.9932
B 0.8835 0.7657 0.5068
B 0.3835 0.7343 0.0068
B 0.1165 0.2343 0.4932
B 0.5998 0.1439 0.8999
B 0.9002 0.6439 0.6001
B 0.4002 0.8561 0.1001
B 0.0998 0.3561 0.3999
B 0.6618 0.3913 0.9115
B 0.8382 0.8913 0.5885
B 0.3382 0.6087 0.0885
B 0.1618 0.1087 0.4115
B 0.6388 0.2184 0.7794
B 0.8612 0.7184 0.7206
B 0.3612 0.7816 0.2206
B 0.1388 0.2816 0.2794
B 0.8658 0.2983 0.9547
B 0.6342 0.7983 0.5453
B 0.1342 0.7017 0.0453
B 0.3658 0.2017 0.4547
B 0.8254 0.3282 0.8178
B 0.6746 0.8282 0.6822
B 0.1746 0.6718 0.1822
B 0.3254 0.1718 0.3178
B 0.7923 0.1593 0.9876
B 0.7077 0.6593 0.5124
B 0.2077 0.8407 0.0124
B 0.2923 0.3407 0.4876
H 0.9775 0.1177 0.8260
H 0.5225 0.6177 0.6740
H 0.0225 0.8823 0.1740
H 0.4775 0.3823 0.3260
H 0.5384 0.2829 0.0740
H 0.9616 0.7829 0.4260
H 0.4616 0.7171 0.9260
H 0.0384 0.2171 0.5740
H 0.2963 0.2827 0.8750
H 0.2037 0.7827 0.6250
H 0.7037 0.7173 0.1250
H 0.7963 0.2173 0.3750
H 0.5209 0.4321 0.7211
H 0.9791 0.9321 0.7789
H 0.4791 0.5679 0.2789
H 0.0209 0.0679 0.2211
H 0.6098 0.1654 0.6990
H 0.8902 0.6654 0.8010
H 0.3902 0.8346 0.3010
H 0.1098 0.3346 0.1990
H 0.0035 0.3446 0.0015
H 0.4965 0.8446 0.4985
H 0.9965 0.6554 0.9985
H 0.5035 0.1554 0.5015
H 0.8518 0.0920 0.0539
H 0.6482 0.5920 0.4461
H 0.1482 0.9080 0.9461
H 0.3518 0.4080 0.5539
H 0.6494 0.4901 0.9457
H 0.8506 0.9901 0.5543
H 0.3506 0.5099 0.0543
H 0.1494 0.0099 0.4457
H 0.5024 0.0543 0.8978
H 0.9976 0.5543 0.6022
H 0.4976 0.9457 0.1022
H 0.0024 0.4457 0.3978
H 0.9570 0.3697 0.7700
H 0.5430 0.8697 0.7300
H 0.0430 0.6303 0.2300
H 0.4570 0.1303 0.2700
CELL_PARAMETERS angstrom
-3.2171 -4.8019 3.6012
8.9607 -0.8914 6.8163
-4.6463 9.5283 7.3542
```

=====

DFT (PBE-GGA) results for a geometry-optimized K2BH4 structure. Values from VASP.

Summary:
- volume (Å³ per cell) = 328
- total energy (eV/atom) = -3.485
- offset from the most stable computed form (kJ/mol of atoms) = 2.5

Quantum ESPRESSO input file:
```
&SYSTEM
  ibrav = 0, nat = 14, ntyp = 3
/
ATOMIC_SPECIES
K 39.10 K.upf
B 10.81 B.upf
H 1.01 H.upf
ATOMIC_POSITIONS crystal
K 0.9950 0.3700 0.1250
K 0.4950 0.1250 0.8800
K 0.0050 0.8800 0.6250
K 0.5050 0.6250 0.3700
B 0.5000 0.2500 0.2500
B 0.0000 0.0000 0.0000
H 0.9955 0.0261 0.1587
H 0.5045 0.2806 0.4042
H 0.3152 0.2239 0.2806
H 0.1848 0.1587 0.8458
H 0.4955 0.0913 0.2239
H 0.6848 0.4042 0.0913
H 0.8152 0.9694 0.0261
H 0.0045 0.8458 0.9694
CELL_PARAMETERS angstrom
6.8883 -0.7744 3.5767
-4.1708 6.5647 0.5925
0.4920 -0.7744 7.7460
```